## NaSb2Pt (GGA-PBE)

Data for crystalline NaSb2Pt at its relaxed geometry.

extended XYZ file:
```
4
Lattice="0.000 3.516 3.516 3.516 0.000 3.516 3.516 3.516 0.000" Properties=species:S:1:pos:R:3 pbc="T T T"
Na 0.000 0.000 0.000
Sb 1.758 1.758 1.758
Sb 5.274 5.274 5.274
Pt 3.516 3.516 3.516
```

Relative energy among the computed polymorphs (eV per atom): 0.289
Energy relative to the elements, uncorrected (meV per atom): -149
Energy (eV/atom): -4.050

## NaSb2Pt3 (GGA-PBE)

Data for crystalline NaSb2Pt3 at its relaxed geometry.

extended XYZ file:
```
18
Lattice="4.250 0.000 0.000 2.117 8.876 0.000 0.002 2.052 9.877" Properties=species:S:1:pos:R:3 pbc="T T T"
Na 0.000 0.000 0.000
Na 2.122 7.154 7.121
Na 4.248 3.775 2.756
Sb 2.120 5.847 1.312
Sb 2.123 3.581 5.437
Sb 2.125 1.353 2.204
Sb 4.245 9.576 7.674
Sb 4.246 7.347 4.440
Sb 4.249 5.082 8.565
Pt 2.117 8.910 3.116
Pt 2.122 5.836 3.998
Pt 2.122 3.317 0.422
Pt 2.127 3.415 8.148
Pt 2.126 1.026 4.939
Pt 4.243 7.513 1.729
Pt 4.248 7.611 9.456
Pt 4.248 5.092 5.880
Pt 4.252 2.019 6.761
```

Relative energy among the computed polymorphs (eV per atom): 0.000
Energy relative to the elements, uncorrected (meV per atom): -405
Energy (eV/atom): -5.019

## NaSb2Pt2 (GGA-PBE)

Data for crystalline NaSb2Pt2 at its relaxed geometry.

extended XYZ file:
```
10
Lattice="4.706 -5.418 0.000 4.706 5.418 0.000 -4.650 0.000 5.164" Properties=species:S:1:pos:R:3 pbc="T T T"
Na 1.218 4.082 3.873
Na 3.543 -4.082 1.291
Sb 3.543 3.134 1.291
Sb 1.218 0.415 3.873
Sb 3.543 -0.415 1.291
Sb 1.218 -3.134 3.873
Pt -1.131 1.358 4.458
Pt 1.194 -1.358 1.876
Pt 3.567 1.358 3.288
Pt 5.892 -1.358 0.706
```

Relative energy among the computed polymorphs (eV per atom): 0.117
Energy relative to the elements, uncorrected (meV per atom): -334
Energy (eV/atom): -4.663

| no. | theoretical density (g cm⁻³) |
| --- | --- |
| 1 | 8.82 |
| 2 | 11.39 |
| 3 | 8.28 |